No. 1
A plane-wave DFT calculation with SCAN was carried out for a crystal of ReAs2Au relaxed with PBEsol.

Unit cell a=5.1856 b=5.1856 c=5.1856 alpha=136.76 beta=136.76 gamma=62.81
With the nearest neighbours (Å) after each atom.
Element x y z (fractional)
Re  0.0000  0.0000  0.0000  8 As 2.70-2.92, 4 Au 2.92
As  0.5000  0.5000  0.0000  4 Re 2.70, 4 As 2.92, 4 Au 2.92
As  0.7500  0.2500  0.5000  4 Au 2.70, 4 As 2.92, 4 Re 2.92
Au  0.2500  0.7500  0.5000  8 As 2.70-2.92, 4 Re 2.92

Properties
Its symmetry is I-4m2 (119). The energy relative to the elements comes out at 0.6999 eV/atom. For the total energy, the calculation gives -44.459 eV/atom.

No. 2
A plane-wave DFT calculation with SCAN was carried out for a crystal of Zr3Cl relaxed with PBEsol.

Unit cell a=5.5104 b=5.5104 c=5.5104 alpha=146.34 beta=71.89 gamma=118.58
With the nearest neighbours (Å) after each atom.
Element x y z (fractional)
Zr  0.0000  0.0000  0.0000  2 Cl 2.60
Zr  0.3585  0.5536  0.8049  2 Cl 2.59
Zr  0.7487  0.5536  0.1951  2 Cl 2.59
Cl  0.3644  0.8644  0.5000  6 Zr 2.59-2.60

Properties
The value obtained for the formation energy from raw total energies is -0.260 eV/atom. Its symmetry is Imm2 (44). For the total energy, the calculation gives -25.279 eV/atom.

No. 3
A plane-wave DFT calculation with SCAN was carried out for a crystal of MgAl2Os relaxed with PBEsol.

Unit cell a=4.3769 b=4.3769 c=4.3769 alpha=60.00 beta=60.00 gamma=60.00
With the nearest neighbours (Å) after each atom.
Element x y z (fractional)
Mg  0.0000  0.0000  0.0000  4 Al 2.68, 4 Os 2.68
Al  0.5000  0.5000  0.5000  4 Os 2.68, 4 Al 2.68
Al  0.7500  0.7500  0.7500  4 Al 2.68, 4 Mg 2.68
Os  0.2500  0.2500  0.2500  4 Al 2.68, 4 Mg 2.68

Properties
Its symmetry is F-43m (216). The energy relative to the elements comes out at -0.1207 eV/atom. For the total energy, the calculation gives -23.210 eV/atom.

No. 4
A plane-wave DFT calculation with SCAN was carried out for a crystal of Mn2ZnSe relaxed with PBEsol.

Unit cell a=4.3187 b=4.3187 c=4.3187 alpha=60.00 beta=60.00 gamma=60.00
With the nearest neighbours (Å) after each atom.
Element x y z (fractional)
Mn  0.2500  0.2500  0.2500  4 Se 2.64, 4 Zn 2.64
Mn  0.7500  0.7500  0.7500  4 Se 2.64, 4 Zn 2.64
Zn  0.0000  0.0000  0.0000  8 Mn 2.64
Se  0.5000  0.5000  0.5000  8 Mn 2.64

Properties
The value obtained for the formation energy from raw total energies is 0.020 eV/atom. Its symmetry is Fm-3m (225). For the total energy, the calculation gives -17.506 eV/atom.

No. 5
A plane-wave DFT calculation with SCAN was carried out for a crystal of CoRh5 relaxed with PBEsol.

Unit cell a=2.6494 b=3.7136 c=7.9158 alpha=90.00 beta=90.00 gamma=90.00
With the nearest neighbours (Å) after each atom.
Element x y z (fractional)
Co  0.0000  0.0000  0.0000  10 Rh 2.60-2.61, 2 Co 2.65
Rh  0.0000  0.0000  0.3284  1 Co 2.60, 11 Rh 2.64-2.72
Rh  0.0000  0.0000  0.6716  1 Co 2.60, 11 Rh 2.64-2.72
Rh  0.5000  0.5000  0.1598  8 Rh 2.53-2.69, 4 Co 2.61
Rh  0.5000  0.5000  0.5000  12 Rh 2.65-2.69
Rh  0.5000  0.5000  0.8402  8 Rh 2.53-2.69, 4 Co 2.61

Properties
Its symmetry is Pmmm (47). The energy relative to the elements comes out at 0.0402 eV/atom. For the total energy, the calculation gives -30.987 eV/atom.

No. 6
A plane-wave DFT calculation with SCAN was carried out for a crystal of Ba2AgAu2 relaxed with PBEsol.

Unit cell a=8.1532 b=8.1532 c=4.4239 alpha=90.00 beta=90.00 gamma=90.00
With the nearest neighbours (Å) after each atom.
Element x y z (fractional)
Ba  0.1765  0.3235  0.0000  6 Au 3.19-3.33
Ba  0.3235  0.8235  0.0000  6 Au 3.19-3.33
Ba  0.6765  0.1765  0.0000  6 Au 3.19-3.33
Ba  0.8235  0.6765  0.0000  6 Au 3.19-3.33
Ag  0.0000  0.0000  0.5000  4 Au 3.23
Ag  0.5000  0.5000  0.5000  4 Au 3.23
Au  0.1245  0.6245  0.5000  1 Au 2.87, 2 Ba 3.19
Au  0.3755  0.1245  0.5000  1 Au 2.87, 2 Ba 3.19
Au  0.6245  0.8755  0.5000  1 Au 2.87, 2 Ba 3.19
Au  0.8755  0.3755  0.5000  1 Au 2.87, 2 Ba 3.19

Properties
Its symmetry is P4/mbm (127). The energy relative to the elements comes out at -0.6492 eV/atom. For the total energy, the calculation gives -50.405 eV/atom.